1.
Below is an optimized crystal structure of CsSnW3, with properties calculated at the PBE level.

abc: 4.9845 4.9845 4.9845
angles: 90.00 90.00 90.00
With the nearest neighbours (Å) after each atom.
Element x y z (fractional)
Cs  0.0000  0.0000  0.0000  6 W 2.49
Sn  0.5000  0.5000  0.5000  12 W 3.52
W  0.0000  0.5000  0.0000  2 Cs 2.49
W  0.0000  0.0000  0.5000  2 Cs 2.49
W  0.5000  0.0000  0.0000  2 Cs 2.49

## Properties
**Space-group type**: Pm-3m, No. 221
**Calculated total energy**: -24.59 eV for the cell shown
**Crystal system**: cubic
**Excess energy over the best structure of this formula in the dataset**: 4.276 eV per formula unit



2.
Below is an optimized crystal structure of Cs2SnW, with properties calculated at the PBE level.

abc: 6.2757 6.2757 6.2757
angles: 60.00 60.00 60.00
With the nearest neighbours (Å) after each atom.
Element x y z (fractional)
Cs  0.2500  0.2500  0.2500  4 Sn 3.84, 4 W 3.84
Cs  0.7500  0.7500  0.7500  4 Sn 3.84, 4 W 3.84
Sn  0.0000  0.0000  0.0000  8 Cs 3.84
W  0.5000  0.5000  0.5000  8 Cs 3.84

## Properties
**Space-group type**: Fm-3m, No. 225
**Calculated total energy**: -12.16 eV for the cell shown
**Crystal system**: cubic



3.
Below is an optimized crystal structure of CsSn3W, with properties calculated at the PBE level.

abc: 5.3787 5.3787 5.3787
angles: 90.00 90.00 90.00
With the nearest neighbours (Å) after each atom.
Element x y z (fractional)
Cs  0.5000  0.5000  0.5000  12 Sn 3.80
Sn  0.0000  0.5000  0.0000  2 W 2.69
Sn  0.0000  0.0000  0.5000  2 W 2.69
Sn  0.5000  0.0000  0.0000  2 W 2.69
W  0.0000  0.0000  0.0000  6 Sn 2.69

## Properties
**Space-group type**: Pm-3m, No. 221
**Calculated total energy**: -24.94 eV for the cell shown
**Crystal system**: cubic



4.
Below is an optimized crystal structure of Cs3SnW, with properties calculated at the PBE level.

abc: 7.0595 7.0595 7.0595
angles: 90.00 90.00 90.00
With the nearest neighbours (Å) after each atom.
Element x y z (fractional)
Cs  0.0000  0.5000  0.0000  2 W 3.53
Cs  0.0000  0.0000  0.5000  2 W 3.53
Cs  0.5000  0.0000  0.0000  2 W 3.53
Sn  0.5000  0.5000  0.5000  12 Cs 4.99
W  0.0000  0.0000  0.0000  6 Cs 3.53

## Properties
**Space-group type**: Pm-3m, No. 221
**Calculated total energy**: -12.15 eV for the cell shown
**Crystal system**: cubic



Number 1: formation energy from the elements 3825.0 meV/atom. Number 2: formation energy from the elements 1624.7 meV/atom. Number 3: formation energy from the elements 175.5 meV/atom. Number 4: formation energy from the elements 1473.5 meV/atom.